Record 1
Computed, not measured: an optimized crystal structure of Ru2SeBr at the GGA-PBE level of DFT.

Summary:
* E_form (uncorrected): 0.67 eV/atom
* polymorph energy (0 for the lowest one): 506 meV/atom
* density: 9397 kg/m3

Unit cell a=4.496 b=4.496 c=3.156 alpha=90.00 beta=90.00 gamma=90.00
Space group P4/mmm (No. 123)
Symmetry-distinct sites (fractional):
Ru (0.000, 0.500, 0.000) (multiplicity 2)
Se (0.000, 0.000, 0.500) (multiplicity 1)
Br (0.500, 0.500, 0.500) (multiplicity 1)


Record 2
Computed, not measured: an optimized crystal structure of RuSe2Br at the GGA-PBE level of DFT.

Summary:
* E_form (uncorrected): 0.20 eV/atom
* polymorph energy (0 for the lowest one): 342 meV/atom
* density: 6191 kg/m3

Unit cell a=3.3894 b=3.3894 c=27.4105 alpha=90.00 beta=90.00 gamma=120.00
Space group R3m (No. 160, hexagonal axes)
Symmetry-distinct sites (fractional):
Ru (0.0000, 0.0000, 0.0000) (multiplicity 3)
Se (0.0000, 0.0000, 0.4751) (multiplicity 3)
Se (0.0000, 0.0000, 0.7188) (multiplicity 3)
Br (0.0000, 0.0000, 0.2671) (multiplicity 3)


Record 3
Computed, not measured: an optimized crystal structure of Ru2SeBr at the GGA-PBE level of DFT.

Summary:
* E_form (uncorrected): 0.35 eV/atom
* polymorph energy (0 for the lowest one): 188 meV/atom
* density: 7944 kg/m3

Unit cell a=3.0368 b=3.0368 c=28.3462 alpha=90.00 beta=90.00 gamma=120.00
Space group R3m (No. 160, hexagonal axes)
Symmetry-distinct sites (fractional):
Ru (0.0000, 0.0000, 0.0000) (multiplicity 3)
Ru (0.0000, 0.0000, 0.2590) (multiplicity 3)
Se (0.0000, 0.0000, 0.5301) (multiplicity 3)
Br (0.0000, 0.0000, 0.7362) (multiplicity 3)